#a
Compound: Pu3ZrN4
Source: Alexandria
Functional: PBE
Structure: optimized geometry

The space group is Cmmm (No. 65) and the conventional cell measures 6.880, 9.685 and 3.418 Å, with angles of 90.00, 90.00 and 90.00 degrees. The asymmetric unit holds Pu at (0.000, 0.000, 0.000), Pu at (0.250, 0.250, 0.500), Zr at (0.000, 0.500, 0.000), N at (0.000, 0.259, 0.000) and N at (0.237, 0.500, 0.500).

The density of states at the Fermi level comes out at 2.256 states/eV/atom.

=====

#b
Compound: Pu3ZrN4
Source: Alexandria
Functional: PBE
Structure: optimized geometry

The space group is P2/c (No. 13) and the conventional cell measures 5.899, 6.846 and 5.934 Å, with angles of 90.00, 109.66 and 90.00 degrees. The asymmetric unit holds Pu at (0.000, 0.124, 0.250), Pu at (0.000, 0.373, 0.750), Pu at (0.500, 0.374, 0.250), Zr at (0.500, 0.123, 0.750), N at (0.258, 0.366, 0.508) and N at (0.259, 0.118, 0.999).

The density of states at the Fermi level comes out at 2.212 states/eV/atom.

=====

Calculated relative energies: #a 0.0; #b 2.0, given in kJ/mol of atoms

=====

#a
Compound: Pu2ZrN3
Source: Alexandria
Functional: PBE
Structure: optimized geometry

The space group is I4/mmm (No. 139) and the conventional cell measures 3.410, 3.410 and 14.461 Å, with angles of 90.00, 90.00 and 90.00 degrees. The asymmetric unit holds Pu at (0.000, 0.000, 0.164), Zr at (0.000, 0.000, 0.500), N at (0.000, 0.000, 0.000) and N at (0.000, 0.000, 0.339).

The density of states at the Fermi level comes out at 2.186 states/eV/atom.

=====

#b
Compound: Pu2ZrN3
Source: Alexandria
Functional: PBE
Structure: optimized geometry

The space group is C2/c (No. 15) and the conventional cell measures 5.914, 10.211 and 5.878 Å, with angles of 90.00, 109.41 and 90.00 degrees. The asymmetric unit holds Pu at (0.000, 0.084, 0.250), Pu at (0.000, 0.249, 0.750), Zr at (0.000, 0.420, 0.250), N at (0.236, 0.421, 0.997) and N at (0.250, 0.250, 0.500).

The density of states at the Fermi level comes out at 2.044 states/eV/atom.

=====

Calculated relative energies: #a 1.9; #b 0.0, given in kJ/mol of atoms

=====

#a
Compound: RbN2
Source: Alexandria
Functional: PBE
Structure: optimized geometry

The space group is P-1 (No. 2) and the conventional cell measures 4.665, 4.695 and 6.232 Å, with angles of 90.42, 90.42 and 96.33 degrees. The asymmetric unit holds Rb at (0.246, 0.246, 0.250), N at (0.169, 0.339, 0.750) and N at (0.339, 0.171, 0.750).

The density of states at the Fermi level comes out at 0.735 states/eV/atom.

=====

#b
Compound: RbN2
Source: Alexandria
Functional: PBE
Structure: optimized geometry

The space group is I4/mmm (No. 139) and the conventional cell measures 2.831, 2.831 and 10.099 Å, with angles of 90.00, 90.00 and 90.00 degrees. The asymmetric unit holds Rb at (0.000, 0.000, 0.000) and N at (0.000, 0.000, 0.274).

The density of states at the Fermi level comes out at 0.444 states/eV/atom.

=====

Calculated relative energies: #a 0.0; #b 220.4, given in kJ/mol of atoms

=====

#a
Compound: RbN6
Source: Alexandria
Functional: PBE
Structure: optimized geometry

The space group is P4/mmm (No. 123) and the conventional cell measures 4.949, 4.949 and 5.525 Å, with angles of 90.00, 90.00 and 90.00 degrees. The asymmetric unit holds Rb at (0.000, 0.000, 0.000), N at (0.000, 0.500, 0.397) and N at (0.500, 0.500, 0.103).

The density of states at the Fermi level comes out at 0.543 states/eV/atom.

=====

#b
Compound: RbN6
Source: Alexandria
Functional: PBE
Structure: optimized geometry

The space group is P4/mmm (No. 123) and the conventional cell measures 5.878, 5.878 and 4.773 Å, with angles of 90.00, 90.00 and 90.00 degrees. The asymmetric unit holds Rb at (0.000, 0.000, 0.000), N at (0.000, 0.500, 0.381) and N at (0.500, 0.500, 0.382).

The density of states at the Fermi level comes out at 0.795 states/eV/atom.

=====

Calculated relative energies: #a 0.0; #b 5.8, given in kJ/mol of atoms

=====

#a
Compound: RbN4
Source: Alexandria
Functional: PBE
Structure: optimized geometry

The space group is Pm-3m (No. 221) and the conventional cell measures 6.035, 6.035 and 6.035 Å, with angles of 90.00, 90.00 and 90.00 degrees. The asymmetric unit holds Rb at (0.000, 0.000, 0.000), N at (0.000, 0.000, 0.500) and N at (0.500, 0.500, 0.500).

The density of states at the Fermi level comes out at 0.568 states/eV/atom.

=====

#b
Compound: RbN4
Source: Alexandria
Functional: PBE
Structure: optimized geometry

The space group is P-1 (No. 2) and the conventional cell measures 4.091, 4.815 and 5.652 Å, with angles of 105.38, 107.38 and 91.62 degrees. The asymmetric unit holds Rb at (0.000, 0.000, 0.000), N at (0.287, 0.275, 0.585) and N at (0.354, 0.494, 0.741).

The density of states at the Fermi level comes out at 0.656 states/eV/atom.

=====

Calculated relative energies: #a 359.1; #b 0.0, given in kJ/mol of atoms

=====

#a
Compound: Rb2Re2N
Source: Alexandria
Functional: PBE
Structure: optimized geometry

The space group is I4/mmm (No. 139) and the conventional cell measures 3.514, 3.514 and 20.988 Å, with angles of 90.00, 90.00 and 90.00 degrees. The asymmetric unit holds Rb at (0.000, 0.000, 0.084), Re at (0.000, 0.500, 0.250) and N at (0.000, 0.000, 0.500).

The density of states at the Fermi level comes out at 1.126 states/eV/atom.

=====

#b
Compound: Rb2Re2N
Source: Alexandria
Functional: PBE
Structure: optimized geometry

The space group is P4/mbm (No. 127) and the conventional cell measures 10.663, 10.663 and 2.848 Å, with angles of 90.00, 90.00 and 90.00 degrees. The asymmetric unit holds Rb at (0.209, 0.291, 0.000), Re at (0.073, 0.573, 0.500) and N at (0.000, 0.000, 0.000).

The density of states at the Fermi level comes out at 0.500 states/eV/atom.

=====

Calculated relative energies: #a 0.0; #b 87.8, given in kJ/mol of atoms